Here is an optimized crystal structure of Pm2Pa2Hg from OQMD via LeMat-Bulk. Energies are from PBE-GGA.

a = 7.769 Å, b = 7.769 Å, c = 5.988 Å
α = 90.07°, β = 90.07°, γ = 123.03°
Fractional coordinates of all 10 atoms:
Pm1 0.063 0.423 0.500
Pm2 0.180 0.820 0.000
Pm3 0.423 0.063 0.500
Pm4 0.820 0.180 0.000
Pa1 0.516 0.712 0.241
Pa2 0.531 0.727 0.742
Pa3 0.712 0.516 0.241
Pa4 0.727 0.531 0.742
Hg1 0.273 0.273 0.978
Hg2 0.970 0.970 0.480

Calculated values
ΔH_f (0 K) = 34.5 kJ per mole of atoms